# 1
VASP calculation (PBE-GGA) on a relaxed PaNbZnO6 crystal.

formation energy (no corrections) = -2.553 eV per atom
crystal system = trigonal
space-group type = P-31c, No. 163

Cell lengths 5.5655, 5.5655, 8.8839 Å; angles 90.00, 90.00, 120.00 degrees
Closest atoms and distances in Å follow each position.
Atoms (fractional coordinates):
1 Pa 0.3333 0.6667 0.2500  6 O 2.19
2 Pa 0.6667 0.3333 0.7500  6 O 2.19
3 Nb 0.6667 0.3333 0.2500  6 O 2.02
4 Nb 0.3333 0.6667 0.7500  6 O 2.02
5 Zn 0.0000 0.0000 0.0000  6 O 2.25
6 Zn 0.0000 0.0000 0.5000  6 O 2.25
7 O 0.6653 0.6434 0.1316  1 Nb 2.02, 1 Pa 2.19, 1 Zn 2.25
8 O 0.9781 0.3347 0.1316  1 Nb 2.02, 1 Pa 2.19, 1 Zn 2.25
9 O 0.3347 0.9781 0.6316  1 Nb 2.02, 1 Pa 2.19, 1 Zn 2.25
10 O 0.0219 0.6653 0.8684  1 Nb 2.02, 1 Pa 2.19, 1 Zn 2.25
11 O 0.3566 0.3347 0.3684  1 Nb 2.02, 1 Pa 2.19, 1 Zn 2.25
12 O 0.9781 0.6434 0.3684  1 Nb 2.02, 1 Pa 2.19, 1 Zn 2.25
13 O 0.6434 0.9781 0.8684  1 Nb 2.02, 1 Pa 2.19, 1 Zn 2.25
14 O 0.6653 0.0219 0.3684  1 Nb 2.02, 1 Pa 2.19, 1 Zn 2.25
15 O 0.0219 0.3566 0.6316  1 Nb 2.02, 1 Pa 2.19, 1 Zn 2.25
16 O 0.3566 0.0219 0.1316  1 Nb 2.02, 1 Pa 2.19, 1 Zn 2.25
17 O 0.6434 0.6653 0.6316  1 Nb 2.02, 1 Pa 2.19, 1 Zn 2.25
18 O 0.3347 0.3566 0.8684  1 Nb 2.02, 1 Pa 2.19, 1 Zn 2.25


# 2
VASP calculation (PBE-GGA) on a relaxed Nb2PbO7 crystal.

formation energy (no corrections) = -1.845 eV per atom
crystal system = orthorhombic
space-group type = Cmmm, No. 65

Cell lengths 3.8965, 6.1209, 6.1209 Å; angles 116.70, 90.00, 90.00 degrees
Closest atoms and distances in Å follow each position.
Atoms (fractional coordinates):
1 Nb 0.5000 0.6972 0.3028  7 O 1.96-2.15
2 Nb 0.5000 0.3028 0.6972  7 O 1.96-2.15
3 Pb 0.0000 0.0000 0.0000  10 O 2.71-2.95
4 O 0.0000 0.7166 0.2834  2 Nb 1.96
5 O 0.0000 0.2834 0.7166  2 Nb 1.96
6 O 0.5000 0.0609 0.3307  2 Nb 2.06-2.15
7 O 0.5000 0.9391 0.6693  2 Nb 2.06-2.15
8 O 0.5000 0.3307 0.0609  2 Nb 2.06-2.15
9 O 0.5000 0.6693 0.9391  2 Nb 2.06-2.15
10 O 0.5000 0.5000 0.5000  2 Nb 2.05


# 3
VASP calculation (PBE-GGA) on a relaxed NbPb2O crystal.

formation energy (no corrections) = 0.264 eV per atom
crystal system = tetragonal
space-group type = I-42d, No. 122
relative energy among the computed polymorphs = 0 meV/atom

Cell lengths 6.9354, 6.9354, 6.0391 Å; angles 54.96, 54.96, 90.00 degrees
Closest atoms and distances in Å follow each position.
Atoms (fractional coordinates):
1 Pb 0.5631 0.1250 0.2500  2 O 2.34
2 Pb 0.1869 0.6250 0.2500  2 O 2.34
3 Pb 0.3750 0.4369 0.7500  2 O 2.34
4 Pb 0.8750 0.8131 0.7500  2 O 2.34
5 Nb 0.0000 0.0000 0.0000  4 Pb 2.91
6 Nb 0.7500 0.2500 0.5000  4 Pb 2.91
7 O 0.5000 0.5000 0.0000  4 Pb 2.34
8 O 0.2500 0.7500 0.5000  4 Pb 2.34


# 4
VASP calculation (PBE-GGA) on a relaxed Nb4Pb3O13 crystal.

formation energy (no corrections) = -2.189 eV per atom
crystal system = trigonal
space-group type = R3m, No. 160
relative energy among the computed polymorphs = 9 meV/atom

Cell lengths 7.6597, 7.6597, 7.6597 Å; angles 59.40, 59.40, 59.40 degrees
Closest atoms and distances in Å follow each position.
Atoms (fractional coordinates):
1 Nb 0.5041 0.5041 0.5041  6 O 1.94-2.10
2 Nb 0.0056 0.5026 0.5026  5 O 1.91-2.05
3 Nb 0.5026 0.5026 0.0056  5 O 1.91-2.05
4 Nb 0.5026 0.0056 0.5026  5 O 1.91-2.05
5 Pb 0.5038 0.0175 0.0175  2 O 2.21-2.43
6 Pb 0.0175 0.0175 0.5038  2 O 2.21-2.43
7 Pb 0.0175 0.5038 0.0175  2 O 2.21-2.43
8 O 0.8119 0.4267 0.4267  1 Nb 1.94
9 O 0.4386 0.8002 0.8002  2 Nb 1.98
10 O 0.4267 0.4267 0.8119  1 Nb 1.94
11 O 0.8002 0.8002 0.4386  2 Nb 1.98
12 O 0.8002 0.4386 0.8002  2 Nb 1.98
13 O 0.4267 0.8119 0.4267  1 Nb 1.94
14 O 0.1857 0.5578 0.5578  2 Nb 1.91-2.10
15 O 0.5515 0.1825 0.1825  2 Nb 2.05
16 O 0.5578 0.5578 0.1857  2 Nb 1.91-2.10
17 O 0.1825 0.1825 0.5515  2 Nb 2.05
18 O 0.1825 0.5515 0.1825  2 Nb 2.05
19 O 0.5578 0.1857 0.5578  2 Nb 1.91-2.10
20 O 0.1492 0.1492 0.1492  3 Pb 2.21


# 5
VASP calculation (PBE-GGA) on a relaxed Nb2Pb2O7 crystal.

formation energy (no corrections) = -2.076 eV per atom
crystal system = monoclinic
space-group type = C2/m, No. 12
relative energy among the computed polymorphs = 0 meV/atom

Cell lengths 6.2826, 5.8252, 6.2826 Å; angles 96.64, 67.14, 83.36 degrees
Closest atoms and distances in Å follow each position.
Atoms (fractional coordinates):
1 Nb 0.2498 0.1042 0.7502  4 O 1.87-1.95
2 Nb 0.7502 0.8958 0.2498  4 O 1.87-1.95
3 Pb 0.6876 0.5000 0.6876  6 O 2.47-2.62
4 Pb 0.3124 0.5000 0.3124  6 O 2.47-2.62
5 O 0.3739 0.2834 0.9255  1 Nb 1.87
6 O 0.9255 0.7166 0.3739  1 Nb 1.87
7 O 0.6261 0.7166 0.0745  1 Nb 1.87
8 O 0.0745 0.2834 0.6261  1 Nb 1.87
9 O 0.5668 0.1954 0.4332  1 Nb 1.93
10 O 0.0000 0.0000 0.0000  2 Nb 1.95
11 O 0.4332 0.8046 0.5668  1 Nb 1.93


# 6
VASP calculation (PBE-GGA) on a relaxed Nb2Pb3O7 crystal.

formation energy (no corrections) = -1.746 eV per atom
crystal system = tetragonal
space-group type = I4/mmm, No. 139

Cell lengths 4.0770, 4.0770, 11.1467 Å; angles 100.54, 100.54, 90.00 degrees
Closest atoms and distances in Å follow each position.
Atoms (fractional coordinates):
1 Nb 0.0958 0.0958 0.1917  6 O 2.04-2.07
2 Nb 0.9042 0.9042 0.8083  6 O 2.04-2.07
3 Pb 0.3048 0.3048 0.6097  1 O 2.43
4 Pb 0.6952 0.6952 0.3903  1 O 2.43
5 Pb 0.5000 0.5000 0.0000  12 O 2.86-2.88
6 O 0.0000 0.0000 0.0000  2 Nb 2.06
7 O 0.9067 0.4067 0.8134  2 Nb 2.04
8 O 0.4067 0.9067 0.8134  2 Nb 2.04
9 O 0.0933 0.5933 0.1866  2 Nb 2.04
10 O 0.5933 0.0933 0.1866  2 Nb 2.04
11 O 0.1919 0.1919 0.3837  1 Nb 2.07
12 O 0.8081 0.8081 0.6163  1 Nb 2.07


# 7
VASP calculation (PBE-GGA) on a relaxed NbPb2O crystal.

formation energy (no corrections) = 0.675 eV per atom
crystal system = cubic
space-group type = Fm-3m, No. 225
relative energy among the computed polymorphs = 412 meV/atom

Cell lengths 4.9134, 4.9134, 4.9134 Å; angles 60.00, 60.00, 60.00 degrees
Closest atoms and distances in Å follow each position.
Atoms (fractional coordinates):
1 Pb 0.2500 0.2500 0.2500  4 O 3.01, 4 Nb 3.01
2 Pb 0.7500 0.7500 0.7500  4 O 3.01, 4 Nb 3.01
3 Nb 0.5000 0.5000 0.5000  8 Pb 3.01
4 O 0.0000 0.0000 0.0000  8 Pb 3.01


# 8
VASP calculation (PBE-GGA) on a relaxed Nb2Pb2O7 crystal.

formation energy (no corrections) = -2.054 eV per atom
crystal system = cubic
space-group type = Fd-3m, No. 227
relative energy among the computed polymorphs = 22 meV/atom

Cell lengths 7.6821, 7.6821, 7.6821 Å; angles 60.00, 60.00, 60.00 degrees
Closest atoms and distances in Å follow each position.
Atoms (fractional coordinates):
1 Nb 0.1250 0.6250 0.1250  6 O 2.03
2 Nb 0.1250 0.1250 0.6250  6 O 2.03
3 Nb 0.6250 0.1250 0.1250  6 O 2.03
4 Nb 0.1250 0.1250 0.1250  6 O 2.03
5 Pb 0.6250 0.6250 0.6250  2 O 2.35
6 Pb 0.1250 0.6250 0.6250  2 O 2.35
7 Pb 0.6250 0.1250 0.6250  2 O 2.35
8 Pb 0.6250 0.6250 0.1250  2 O 2.35
9 O 0.7500 0.7500 0.7500  4 Pb 2.35
10 O 0.1857 0.8143 0.8143  2 Nb 2.03
11 O 0.1857 0.8143 0.1857  2 Nb 2.03
12 O 0.8143 0.8143 0.1857  2 Nb 2.03
13 O 0.8143 0.1857 0.8143  2 Nb 2.03
14 O 0.1857 0.1857 0.8143  2 Nb 2.03
15 O 0.4357 0.0643 0.0643  2 Nb 2.03
16 O 0.8143 0.1857 0.1857  2 Nb 2.03
17 O 0.0643 0.4357 0.0643  2 Nb 2.03
18 O 0.0643 0.0643 0.4357  2 Nb 2.03
19 O 0.4357 0.4357 0.0643  2 Nb 2.03
20 O 0.4357 0.0643 0.4357  2 Nb 2.03
21 O 0.0643 0.4357 0.4357  2 Nb 2.03
22 O 0.5000 0.5000 0.5000  4 Pb 2.35


Calculated calculated total energy in order - -147.13 -77.01 -42.78 -159.64 -85.10 -86.92 -19.74 -169.71 eV for the cell shown